Record 1
A plane-wave DFT calculation with GGA-PBE was carried out for a geometry-optimized ZrGa4Ni2 structure.

Calculated values
Formation enthalpy at 0 K   -0.48 eV/atom
Total magnetic moment   0.0 μB per formula unit
Fermi-level density of states   0.439 states/eV/atom

Structure (CIF):
```
data_ZrGa4Ni2
_chemical_formula_sum 'Zr4 Ga16 Ni8'
_cell_length_a 16.538
_cell_length_b 4.077
_cell_length_c 6.288
_cell_angle_alpha 90.00
_cell_angle_beta 90.00
_cell_angle_gamma 90.00
_symmetry_space_group_name_H-M 'P n m a'
_symmetry_Int_Tables_number 62
loop_
_symmetry_equiv_pos_as_xyz
'x,y,z'
'-x,-y,-z'
'-x+1/2,-y,z+1/2'
'x+1/2,y,-z+1/2'
'x+1/2,-y+1/2,-z+1/2'
'-x+1/2,y+1/2,z+1/2'
'-x,y+1/2,-z'
'x,-y+1/2,z'
loop_
_atom_site_label
_atom_site_fract_x
_atom_site_fract_y
_atom_site_fract_z
_atom_site_occupancy
Zr1 0.140 0.250 0.001 1
Ga1 0.033 0.750 0.851 1
Ga2 0.071 0.250 0.492 1
Ga3 0.184 0.750 0.307 1
Ga4 0.193 0.750 0.721 1
Ni1 0.037 0.750 0.246 1
Ni2 0.216 0.250 0.521 1
```

Record 2
A plane-wave DFT calculation with GGA-PBE was carried out for a geometry-optimized Zr3Ga2Ni6 structure.

Calculated values
Formation enthalpy at 0 K   -0.53 eV/atom
Total magnetic moment   0.0 μB per formula unit
Fermi-level density of states   0.975 states/eV/atom

Structure (CIF):
```
data_Zr3Ga2Ni6
_chemical_formula_sum 'Zr12 Ga8 Ni24'
_cell_length_a 8.605
_cell_length_b 8.605
_cell_length_c 8.605
_cell_angle_alpha 90.00
_cell_angle_beta 90.00
_cell_angle_gamma 90.00
_symmetry_space_group_name_H-M 'I m -3 m'
_symmetry_Int_Tables_number 229
_symmetry_space_group_name_Hall '-I 4 2 3'
loop_
_atom_site_label
_atom_site_fract_x
_atom_site_fract_y
_atom_site_fract_z
_atom_site_occupancy
Zr1 0.000 0.000 0.277 1
Ga1 0.250 0.250 0.250 1
Ni1 0.000 0.344 0.344 1
```

Record 3
A plane-wave DFT calculation with GGA-PBE was carried out for a geometry-optimized ZrGa2Ni structure.

Calculated values
Formation enthalpy at 0 K   -0.47 eV/atom
Total magnetic moment   0.0 μB per formula unit
Fermi-level density of states   0.407 states/eV/atom

Structure (CIF):
```
data_ZrGa2Ni
_chemical_formula_sum 'Zr1 Ga2 Ni1'
_cell_length_a 3.976
_cell_length_b 3.976
_cell_length_c 4.037
_cell_angle_alpha 90.00
_cell_angle_beta 90.00
_cell_angle_gamma 90.00
_symmetry_space_group_name_H-M 'P 4/m m m'
_symmetry_Int_Tables_number 123
_symmetry_space_group_name_Hall '-P 4 2'
loop_
_atom_site_label
_atom_site_fract_x
_atom_site_fract_y
_atom_site_fract_z
_atom_site_occupancy
Zr1 0.000 0.000 0.000 1
Ga1 0.000 0.500 0.500 1
Ni1 0.500 0.500 0.000 1
```

Record 4
A plane-wave DFT calculation with GGA-PBE was carried out for a geometry-optimized Zr4GaNi structure.

Calculated values
Formation enthalpy at 0 K   -0.36 eV/atom
Total magnetic moment   0.0 μB per formula unit
Fermi-level density of states   1.188 states/eV/atom

Structure (CIF):
```
data_Zr4GaNi
_chemical_formula_sum 'Zr8 Ga2 Ni2'
_cell_length_a 6.743
_cell_length_b 6.743
_cell_length_c 5.158
_cell_angle_alpha 90.00
_cell_angle_beta 90.00
_cell_angle_gamma 90.00
_symmetry_space_group_name_H-M 'I 4 2 2'
_symmetry_Int_Tables_number 97
_symmetry_space_group_name_Hall 'I 4 2'
loop_
_atom_site_label
_atom_site_fract_x
_atom_site_fract_y
_atom_site_fract_z
_atom_site_occupancy
Zr1 0.158 0.342 0.250 1
Ga1 0.000 0.000 0.500 1
Ni1 0.000 0.000 0.000 1
```

Record 5
A plane-wave DFT calculation with GGA-PBE was carried out for a geometry-optimized ZrGaNi4 structure.

Calculated values
Formation enthalpy at 0 K   -0.28 eV/atom
Total magnetic moment   0.0 μB per formula unit
Fermi-level density of states   0.577 states/eV/atom

Structure (CIF):
```
data_ZrGaNi4
_chemical_formula_sum 'Zr4 Ga4 Ni16'
_cell_length_a 4.321
_cell_length_b 15.886
_cell_length_c 4.679
_cell_angle_alpha 90.00
_cell_angle_beta 90.00
_cell_angle_gamma 90.00
_symmetry_space_group_name_H-M 'I m m a'
_symmetry_Int_Tables_number 74
_symmetry_space_group_name_Hall '-I 2b 2'
loop_
_atom_site_label
_atom_site_fract_x
_atom_site_fract_y
_atom_site_fract_z
_atom_site_occupancy
Zr1 0.000 0.250 0.020 1
Ga1 0.000 0.000 0.500 1
Ni1 0.000 0.082 0.068 1
Ni2 0.000 0.155 0.568 1
```

Record 6
A plane-wave DFT calculation with GGA-PBE was carried out for a geometry-optimized ZrGa2Ni structure.

Calculated values
Formation enthalpy at 0 K   -0.59 eV/atom
Total magnetic moment   0.0 μB per formula unit
Fermi-level density of states   0.360 states/eV/atom

Structure (CIF):
```
data_ZrGa2Ni
_chemical_formula_sum 'Zr20 Ga40 Ni20'
_cell_length_a 12.420
_cell_length_b 12.420
_cell_length_c 8.138
_cell_angle_alpha 90.00
_cell_angle_beta 90.00
_cell_angle_gamma 90.00
_symmetry_space_group_name_H-M 'I 4 m m'
_symmetry_Int_Tables_number 107
_symmetry_space_group_name_Hall 'I 4 -2'
loop_
_atom_site_label
_atom_site_fract_x
_atom_site_fract_y
_atom_site_fract_z
_atom_site_occupancy
Zr1 0.000 0.000 0.000 1
Zr2 0.000 0.000 0.440 1
Zr3 0.000 0.286 0.062 1
Zr4 0.203 0.203 0.570 1
Ga1 0.000 0.159 0.729 1
Ga2 0.000 0.383 0.581 1
Ga3 0.134 0.134 0.221 1
Ga4 0.141 0.352 0.318 1
Ni1 0.000 0.217 0.417 1
Ni2 0.000 0.500 0.332 1
Ni3 0.162 0.162 0.905 1
```

Record 7
A plane-wave DFT calculation with GGA-PBE was carried out for a geometry-optimized Zr2GaNi9 structure.

Calculated values
Formation enthalpy at 0 K   -0.39 eV/atom
Total magnetic moment   0.0 μB per formula unit
Fermi-level density of states   0.916 states/eV/atom

Structure (CIF):
```
data_Zr2GaNi9
_chemical_formula_sum 'Zr2 Ga1 Ni9'
_cell_length_a 3.720
_cell_length_b 3.720
_cell_length_c 10.978
_cell_angle_alpha 90.00
_cell_angle_beta 90.00
_cell_angle_gamma 90.00
_symmetry_space_group_name_H-M 'P 4/m m m'
_symmetry_Int_Tables_number 123
_symmetry_space_group_name_Hall '-P 4 2'
loop_
_atom_site_label
_atom_site_fract_x
_atom_site_fract_y
_atom_site_fract_z
_atom_site_occupancy
Zr1 0.000 0.000 0.174 1
Ga1 0.000 0.000 0.500 1
Ni1 0.000 0.500 0.000 1
Ni2 0.000 0.500 0.345 1
Ni3 0.500 0.500 0.173 1
Ni4 0.500 0.500 0.500 1
```

Record 8
A plane-wave DFT calculation with GGA-PBE was carried out for a geometry-optimized Zr4Ga16Ni3 structure.

Calculated values
Formation enthalpy at 0 K   -0.40 eV/atom
Total magnetic moment   0.0 μB per formula unit
Fermi-level density of states   0.318 states/eV/atom

Structure (CIF):
```
data_Zr4Ga16Ni3
_chemical_formula_sum 'Zr4 Ga16 Ni3'
_cell_length_a 5.946
_cell_length_b 5.946
_cell_length_c 10.825
_cell_angle_alpha 90.00
_cell_angle_beta 90.00
_cell_angle_gamma 90.00
_symmetry_space_group_name_H-M 'P 4/m m m'
_symmetry_Int_Tables_number 123
_symmetry_space_group_name_Hall '-P 4 2'
loop_
_atom_site_label
_atom_site_fract_x
_atom_site_fract_y
_atom_site_fract_z
_atom_site_occupancy
Zr1 0.000 0.500 0.192 1
Ga1 0.000 0.000 0.200 1
Ga2 0.220 0.220 0.000 1
Ga3 0.247 0.247 0.379 1
Ga4 0.500 0.500 0.220 1
Ni1 0.000 0.500 0.500 1
Ni2 0.500 0.500 0.000 1
```

Record 9
A plane-wave DFT calculation with GGA-PBE was carried out for a geometry-optimized Zr3Ga4Ni2 structure.

Calculated values
Formation enthalpy at 0 K   -0.57 eV/atom
Total magnetic moment   0.0 μB per formula unit
Fermi-level density of states   0.800 states/eV/atom

Structure (CIF):
```
data_Zr3Ga4Ni2
_chemical_formula_sum 'Zr6 Ga8 Ni4'
_cell_length_a 10.003
_cell_length_b 4.146
_cell_length_c 7.881
_cell_angle_alpha 90.00
_cell_angle_beta 111.01
_cell_angle_gamma 90.00
_symmetry_space_group_name_H-M 'C 1 2/m 1'
_symmetry_Int_Tables_number 12
loop_
_symmetry_equiv_pos_as_xyz
'x,y,z'
'-x,-y,-z'
'-x,y,-z'
'x,-y,z'
'x+1/2,y+1/2,z'
'-x+1/2,-y+1/2,-z'
'-x+1/2,y+1/2,-z'
'x+1/2,-y+1/2,z'
loop_
_atom_site_label
_atom_site_fract_x
_atom_site_fract_y
_atom_site_fract_z
_atom_site_occupancy
Zr1 0.000 0.000 0.000 1
Zr2 0.138 0.500 0.683 1
Ga1 0.079 0.000 0.395 1
Ga2 0.212 0.500 0.069 1
Ni1 0.178 0.500 0.355 1
```

Record 10
A plane-wave DFT calculation with GGA-PBE was carried out for a geometry-optimized Zr3Ga3Ni2 structure.

Calculated values
Formation enthalpy at 0 K   -0.57 eV/atom
Total magnetic moment   0.0 μB per formula unit
Fermi-level density of states   0.802 states/eV/atom

Structure (CIF):
```
data_Zr3Ga3Ni2
_chemical_formula_sum 'Zr12 Ga12 Ni8'
_cell_length_a 7.397
_cell_length_b 13.754
_cell_length_c 5.365
_cell_angle_alpha 90.00
_cell_angle_beta 90.00
_cell_angle_gamma 90.00
_symmetry_space_group_name_H-M 'P n m a'
_symmetry_Int_Tables_number 62
loop_
_symmetry_equiv_pos_as_xyz
'x,y,z'
'-x,-y,-z'
'-x+1/2,-y,z+1/2'
'x+1/2,y,-z+1/2'
'x+1/2,-y+1/2,-z+1/2'
'-x+1/2,y+1/2,z+1/2'
'-x,y+1/2,-z'
'x,-y+1/2,z'
loop_
_atom_site_label
_atom_site_fract_x
_atom_site_fract_y
_atom_site_fract_z
_atom_site_occupancy
Zr1 0.029 0.113 0.119 1
Zr2 0.174 0.250 0.638 1
Ga1 0.185 0.750 0.631 1
Ga2 0.191 0.036 0.600 1
Ni1 0.097 0.612 0.372 1
```

Record 11
A plane-wave DFT calculation with GGA-PBE was carried out for a geometry-optimized ZrGa4Ni6 structure.

Calculated values
Formation enthalpy at 0 K   -0.18 eV/atom
Total magnetic moment   0.0 μB per formula unit
Fermi-level density of states   0.973 states/eV/atom

Structure (CIF):
```
data_ZrGa4Ni6
_chemical_formula_sum 'Zr2 Ga8 Ni12'
_cell_length_a 6.002
_cell_length_b 6.002
_cell_length_c 8.945
_cell_angle_alpha 90.00
_cell_angle_beta 90.00
_cell_angle_gamma 90.00
_symmetry_space_group_name_H-M 'I -4 2 m'
_symmetry_Int_Tables_number 121
_symmetry_space_group_name_Hall 'I -4 2'
loop_
_atom_site_label
_atom_site_fract_x
_atom_site_fract_y
_atom_site_fract_z
_atom_site_occupancy
Zr1 0.000 0.000 0.000 1
Ga1 0.204 0.204 0.693 1
Ni1 0.000 0.500 0.000 1
Ni2 0.164 0.164 0.418 1
```

Record 12
A plane-wave DFT calculation with GGA-PBE was carried out for a geometry-optimized ZrGaNi2 structure.

Calculated values
Formation enthalpy at 0 K   -0.38 eV/atom
Total magnetic moment   0.0 μB per formula unit
Fermi-level density of states   0.986 states/eV/atom

Structure (CIF):
```
data_ZrGaNi2
_chemical_formula_sum 'Zr1 Ga1 Ni2'
_cell_length_a 3.023
_cell_length_b 3.023
_cell_length_c 6.337
_cell_angle_alpha 90.00
_cell_angle_beta 90.00
_cell_angle_gamma 90.00
_symmetry_space_group_name_H-M 'P 4/m m m'
_symmetry_Int_Tables_number 123
_symmetry_space_group_name_Hall '-P 4 2'
loop_
_atom_site_label
_atom_site_fract_x
_atom_site_fract_y
_atom_site_fract_z
_atom_site_occupancy
Zr1 0.000 0.000 0.000 1
Ga1 0.000 0.000 0.500 1
Ni1 0.500 0.500 0.285 1
```